<a>
Density functional theory data (GGA+U) for crystalline BeCo2O4 at its relaxed geometry.

- Crystal system: cubic
- Space-group type: Fd-3m (227)

Lattice parameters (Å, degrees): 5.473 5.473 5.473 60.00 60.00 60.00
Positions (direct):
Be 0.000 0.000 0.000
Be 0.250 0.250 0.250
Co 0.625 0.625 0.125
Co 0.625 0.625 0.625
Co 0.625 0.125 0.625
Co 0.125 0.625 0.625
O 0.868 0.377 0.377
O 0.873 0.382 0.873
O 0.873 0.873 0.382
O 0.377 0.868 0.377
O 0.377 0.377 0.377
O 0.382 0.873 0.873
O 0.873 0.873 0.873
O 0.377 0.377 0.868

---

<b>
Density functional theory data (GGA+U) for crystalline BeCo2O4 at its relaxed geometry.

- Crystal system: orthorhombic
- Space-group type: Pnma (62)

Lattice parameters (Å, degrees): 2.893 8.998 9.310 90.00 90.00 90.00
Positions (direct):
Be 0.750 0.645 0.109
Be 0.250 0.855 0.609
Be 0.750 0.145 0.391
Be 0.250 0.355 0.891
Co 0.750 0.631 0.798
Co 0.750 0.618 0.429
Co 0.250 0.882 0.929
Co 0.250 0.869 0.298
Co 0.750 0.131 0.702
Co 0.750 0.118 0.071
Co 0.250 0.382 0.571
Co 0.250 0.369 0.202
O 0.750 0.518 0.614
O 0.750 0.478 0.125
O 0.250 0.767 0.750
O 0.750 0.746 0.972
O 0.250 0.754 0.472
O 0.750 0.733 0.250
O 0.250 0.022 0.625
O 0.250 0.982 0.114
O 0.750 0.018 0.886
O 0.750 0.978 0.375
O 0.250 0.267 0.750
O 0.750 0.246 0.528
O 0.250 0.254 0.028
O 0.750 0.233 0.250
O 0.250 0.522 0.875
O 0.250 0.482 0.386

---

What are the relative energies? In meV/atom: <a> 0; <b> 83.

---

<a>
Density functional theory data (GGA+U) for crystalline BeCo2O at its relaxed geometry.

- Crystal system: cubic
- Space-group type: Fm-3m (225)

Lattice parameters (Å, degrees): 3.833 3.833 3.833 60.00 60.00 60.00
Positions (direct):
Be 0.000 0.000 0.000
Co 0.250 0.250 0.250
Co 0.750 0.750 0.750
O 0.500 0.500 0.500

---

<b>
Density functional theory data (GGA+U) for crystalline BeCo2O at its relaxed geometry.

- Crystal system: tetragonal
- Space-group type: I-42d (122)

Lattice parameters (Å, degrees): 5.645 5.645 4.885 54.70 54.70 90.00
Positions (direct):
Be 0.500 0.500 0.000
Be 0.250 0.750 0.500
Co 0.668 0.125 0.250
Co 0.082 0.625 0.250
Co 0.375 0.332 0.750
Co 0.875 0.918 0.750
O 0.000 0.000 0.000
O 0.750 0.250 0.500

---

What are the relative energies? In meV/atom: <a> 263; <b> 0.